[1]
DFT (PBE-GGA) results for a geometry-optimized LaCd10Cu2 structure.

Cell: 5.506 7.615 7.647 Å, 82.52 68.90 68.81°
Atoms (fractional coordinates):
Cd 0.347 0.636 0.669
Cd 0.017 0.636 0.331
Cd 0.000 0.000 0.500
Cd 0.500 0.000 0.500
Cd 0.511 0.774 0.204
Cd 0.715 0.774 0.796
Cd 0.653 0.364 0.331
Cd 0.983 0.364 0.669
Cd 0.285 0.226 0.204
Cd 0.489 0.226 0.796
La 0.000 0.000 0.000
Cu 0.500 0.500 0.000
Cu 0.000 0.500 0.000

## Properties
* spin magnetization: 0.00 μB/f.u.
* space-group type: Fmmm, No. 69
* density of states at the Fermi level: 4.97 states/eV/cell
* energy of formation from the pure elements: -0.117 eV/atom


[2]
DFT (PBE-GGA) results for a geometry-optimized LaCd2Cu structure.

Cell: 5.083 5.083 5.075 Å, 120.25 120.19 89.72°
Atoms (fractional coordinates):
Cd 0.000 0.000 0.000
Cd 0.750 0.250 0.500
Cu 0.501 0.501 0.000
La 0.250 0.750 0.500

## Properties
* spin magnetization: 0.00 μB/f.u.
* space-group type: C2, No. 5
* density of states at the Fermi level: 2.07 states/eV/cell
* energy of formation from the pure elements: -0.216 eV/atom